Below is a geometry-optimized SnH4C2NO4F structure, with properties calculated at the PBE-GGA level.

The value obtained for the calculated volume is 12.515 A^3/atom. Its total energy is -6.144 eV per atom.

abc: 7.8514 8.7417 10.1307
angles: 90.00 90.00 110.62
Last column: nearest neighbours and their distance in Å.
Fractional coordinates of all 52 atoms:
O: 0.8357 0.7023 0.6270  1 C 1.29
O: 0.6941 0.6939 0.0808  1 C 1.24
O: 0.3059 0.3061 0.9192  1 C 1.24
O: 0.1643 0.2977 0.3730  1 C 1.29
O: 0.8059 0.3061 0.5808  1 C 1.24
O: 0.8664 0.7531 0.4087  1 C 1.25
O: 0.3664 0.7531 0.0913  1 C 1.25
O: 0.6724 0.6966 0.8582  1 C 1.31
O: 0.6336 0.2469 0.9087  1 C 1.25
O: 0.6643 0.2977 0.1270  1 C 1.29
O: 0.3276 0.3034 0.1418  1 C 1.31
O: 0.3357 0.7023 0.8730  1 C 1.29
O: 0.1941 0.6939 0.4192  1 C 1.24
O: 0.1724 0.6966 0.6418  1 C 1.31
O: 0.8276 0.3034 0.3582  1 C 1.31
O: 0.1336 0.2469 0.5913  1 C 1.25
H: 0.9615 0.1783 0.7248  1 N 1.04
H: 0.7646 0.0185 0.7369  1 N 1.04
H: 0.3169 0.1630 0.6456  1 N 1.04
H: 0.7354 0.9815 0.2369  1 N 1.04
H: 0.1831 0.8370 0.1456  1 N 1.04
H: 0.4615 0.1783 0.7752  1 N 1.04
H: 0.5612 0.9670 0.3406  1 N 1.04
H: 0.9388 0.0330 0.8406  1 N 1.04
H: 0.2354 0.9815 0.2631  1 N 1.04
H: 0.0612 0.9670 0.1594  1 N 1.04
H: 0.6831 0.8370 0.3544  1 N 1.04
H: 0.5385 0.8217 0.2248  1 N 1.04
H: 0.2646 0.0185 0.7631  1 N 1.04
H: 0.4388 0.0330 0.6594  1 N 1.04
H: 0.8169 0.1630 0.8544  1 N 1.04
H: 0.0385 0.8217 0.2752  1 N 1.04
N: 0.3715 0.0989 0.7086  4 H 1.04
N: 0.6285 0.9011 0.2914  4 H 1.04
N: 0.8715 0.0989 0.7914  4 H 1.04
N: 0.1285 0.9011 0.2086  4 H 1.04
Sn: 0.5377 0.3538 0.3147  1 F 2.10, 2 O 2.28-2.34
Sn: 0.4623 0.6462 0.6853  1 F 2.10, 2 O 2.28-2.34
Sn: 0.9623 0.6462 0.8147  1 F 2.10, 2 O 2.28-2.34
Sn: 0.0377 0.3538 0.1853  1 F 2.10, 2 O 2.28-2.34
C: 0.6132 0.7020 0.9779  2 O 1.24-1.31
C: 0.4226 0.7210 0.9830  2 O 1.25-1.29
C: 0.9226 0.7210 0.5170  2 O 1.25-1.29
C: 0.0774 0.2790 0.4830  2 O 1.25-1.29
C: 0.3868 0.2980 0.0221  2 O 1.24-1.31
C: 0.8868 0.2980 0.4779  2 O 1.24-1.31
C: 0.1132 0.7020 0.5221  2 O 1.24-1.31
C: 0.5774 0.2790 0.0170  2 O 1.25-1.29
F: 0.0716 0.8986 0.8510  2 H 1.75-1.83
F: 0.5716 0.8986 0.6490  2 H 1.75-1.83
F: 0.4284 0.1014 0.3510  2 H 1.75-1.83
F: 0.9284 0.1014 0.1490  2 H 1.75-1.83